Material: LiNi2Rh
Method: DFT, PBEsol
State: relaxed

Cell lengths 2.5541, 2.5541, 8.5213 Å; angles 81.38, 81.38, 60.00 degrees
Last column: nearest neighbours and their distance in Å.
Sites, in units of the cell vectors:
Li1 0.0000 0.0000 0.0000  6 Li 2.55, 6 Ni 2.57
Ni1 0.2496 0.2496 0.2511  6 Ni 2.55, 3 Rh 2.56, 3 Li 2.57
Ni2 0.7504 0.7504 0.7489  6 Ni 2.55, 3 Rh 2.56, 3 Li 2.57
Rh1 0.5000 0.5000 0.5000  6 Rh 2.55, 6 Ni 2.56

The calculation puts the formation enthalpy at 0 K at 0.082 eV/atom. The value obtained for the energy is -5.523 eV/atom. Its space group is R-3m, No. 166. For the density of states at the Fermi level, the calculation gives 5.47 states/eV/cell. As for the total magnetic moment: 0.82 μB/cell.



Material: Sr3NiPbO6
Method: DFT, PBEsol
State: relaxed

Cell lengths 6.7249, 6.7249, 6.7249 Å; angles 91.12, 91.12, 91.12 degrees
Last column: nearest neighbours and their distance in Å.
Sites, in units of the cell vectors:
Sr1 0.3773 0.1227 0.7500  8 O 2.52-2.66
Sr2 0.8773 0.2500 0.6227  8 O 2.52-2.66
Sr3 0.2500 0.6227 0.8773  8 O 2.52-2.66
Sr4 0.6227 0.8773 0.2500  8 O 2.52-2.66
Sr5 0.1227 0.7500 0.3773  8 O 2.52-2.66
Sr6 0.7500 0.3773 0.1227  8 O 2.52-2.66
Ni1 0.5000 0.5000 0.5000  6 O 2.07
Ni2 0.0000 0.0000 0.0000  6 O 2.07
Pb1 0.7500 0.7500 0.7500  6 O 2.24
Pb2 0.2500 0.2500 0.2500  6 O 2.24
O1 0.7912 0.5937 0.4575  1 Ni 2.07, 1 Pb 2.24
O2 0.5937 0.4575 0.7912  1 Ni 2.07, 1 Pb 2.24
O3 0.4575 0.7912 0.5937  1 Ni 2.07, 1 Pb 2.24
O4 0.0425 0.9063 0.7088  1 Ni 2.07, 1 Pb 2.24
O5 0.9063 0.7088 0.0425  1 Ni 2.07, 1 Pb 2.24
O6 0.7088 0.0425 0.9063  1 Ni 2.07, 1 Pb 2.24
O7 0.2088 0.4063 0.5425  1 Ni 2.07, 1 Pb 2.24
O8 0.4063 0.5425 0.2088  1 Ni 2.07, 1 Pb 2.24
O9 0.5425 0.2088 0.4063  1 Ni 2.07, 1 Pb 2.24
O10 0.9575 0.0937 0.2912  1 Ni 2.07, 1 Pb 2.24
O11 0.2912 0.9575 0.0937  1 Ni 2.07, 1 Pb 2.24
O12 0.0937 0.2912 0.9575  1 Ni 2.07, 1 Pb 2.24

The value obtained for the energy is -6.256 eV/atom. Its space group is R-3c, No. 167. For the density of states at the Fermi level, the calculation gives 5.32 states/eV/cell. As for the total magnetic moment: 3.93 μB/cell.



Material: BeRu
Method: DFT, PBEsol
State: relaxed

Cell lengths 4.6773, 6.9158, 7.8273 Å; angles 90.00, 90.00, 90.00 degrees
Last column: nearest neighbours and their distance in Å.
Sites, in units of the cell vectors:
Be1 0.7500 0.8659 0.1384  2 Be 2.15, 5 Ru 2.26-2.39
Be2 0.2500 0.1341 0.8616  2 Be 2.15, 5 Ru 2.26-2.39
Be3 0.7500 0.3659 0.8616  2 Be 2.15, 5 Ru 2.26-2.39
Be4 0.2500 0.6341 0.1384  2 Be 2.15, 5 Ru 2.26-2.39
Be5 0.7500 0.4489 0.4155  9 Ru 2.33-2.53
Be6 0.2500 0.5511 0.5845  9 Ru 2.33-2.53
Be7 0.7500 0.9489 0.5845  9 Ru 2.33-2.53
Be8 0.2500 0.0511 0.4155  9 Ru 2.33-2.53
Be9 0.0000 0.2500 0.0682  4 Be 2.15-2.34, 4 Ru 2.28-2.39
Be10 0.5000 0.7500 0.9318  4 Be 2.15-2.34, 4 Ru 2.28-2.39
Be11 0.0000 0.7500 0.9318  4 Be 2.15-2.34, 4 Ru 2.28-2.39
Be12 0.5000 0.2500 0.0682  4 Be 2.15-2.34, 4 Ru 2.28-2.39
Ru1 0.7500 0.5250 0.1250  9 Be 2.28-2.47
Ru2 0.2500 0.4750 0.8750  9 Be 2.28-2.47
Ru3 0.7500 0.0250 0.8750  9 Be 2.28-2.47
Ru4 0.2500 0.9750 0.1250  9 Be 2.28-2.47
Ru5 0.7500 0.1278 0.3112  5 Be 2.26-2.47
Ru6 0.2500 0.8722 0.6888  5 Be 2.26-2.47
Ru7 0.7500 0.6278 0.6888  5 Be 2.26-2.47
Ru8 0.2500 0.3722 0.3112  5 Be 2.26-2.47
Ru9 0.0000 0.2500 0.6159  2 Ru 2.34, 6 Be 2.39-2.40
Ru10 0.5000 0.7500 0.3841  2 Ru 2.34, 6 Be 2.39-2.40
Ru11 0.0000 0.7500 0.3841  2 Ru 2.34, 6 Be 2.39-2.40
Ru12 0.5000 0.2500 0.6159  2 Ru 2.34, 6 Be 2.39-2.40

The calculation puts the formation enthalpy at 0 K at -0.145 eV/atom. The value obtained for the energy is -7.231 eV/atom. Its space group is Pbcm, No. 57. For the density of states at the Fermi level, the calculation gives 17.24 states/eV/cell. As for the total magnetic moment: 0.00 μB/cell.



Material: Zr2Co2Cu
Method: DFT, PBEsol
State: relaxed

Cell lengths 3.4494, 6.5811, 6.5811 Å; angles 90.00, 90.00, 90.00 degrees
Last column: nearest neighbours and their distance in Å.
Sites, in units of the cell vectors:
Co1 0.0000 0.3709 0.8709  1 Co 2.40, 6 Zr 2.51-2.66, 2 Cu 2.58
Co2 0.0000 0.8709 0.6291  1 Co 2.40, 6 Zr 2.51-2.66, 2 Cu 2.58
Co3 0.0000 0.6291 0.1291  1 Co 2.40, 6 Zr 2.51-2.66, 2 Cu 2.58
Co4 0.0000 0.1291 0.3709  1 Co 2.40, 6 Zr 2.51-2.66, 2 Cu 2.58
Cu1 0.0000 0.0000 0.0000  4 Co 2.58
Cu2 0.0000 0.5000 0.5000  4 Co 2.58
Zr1 0.5000 0.1748 0.6748  6 Co 2.51-2.66
Zr2 0.5000 0.6748 0.8252  6 Co 2.51-2.66
Zr3 0.5000 0.8252 0.3252  6 Co 2.51-2.66
Zr4 0.5000 0.3252 0.1748  6 Co 2.51-2.66

The calculation puts the formation enthalpy at 0 K at -0.241 eV/atom. The value obtained for the energy is -7.839 eV/atom. Its space group is P4/mbm, No. 127. For the density of states at the Fermi level, the calculation gives 10.49 states/eV/cell. As for the total magnetic moment: 0.01 μB/cell.



What did the second record say?
Material: Sr3NiPbO6
Method: DFT, PBEsol
State: relaxed

Cell lengths 6.7249, 6.7249, 6.7249 Å; angles 91.12, 91.12, 91.12 degrees
Last column: nearest neighbours and their distance in Å.
Sites, in units of the cell vectors:
Sr1 0.3773 0.1227 0.7500  8 O 2.52-2.66
Sr2 0.8773 0.2500 0.6227  8 O 2.52-2.66
Sr3 0.2500 0.6227 0.8773  8 O 2.52-2.66
Sr4 0.6227 0.8773 0.2500  8 O 2.52-2.66
Sr5 0.1227 0.7500 0.3773  8 O 2.52-2.66
Sr6 0.7500 0.3773 0.1227  8 O 2.52-2.66
Ni1 0.5000 0.5000 0.5000  6 O 2.07
Ni2 0.0000 0.0000 0.0000  6 O 2.07
Pb1 0.7500 0.7500 0.7500  6 O 2.24
Pb2 0.2500 0.2500 0.2500  6 O 2.24
O1 0.7912 0.5937 0.4575  1 Ni 2.07, 1 Pb 2.24
O2 0.5937 0.4575 0.7912  1 Ni 2.07, 1 Pb 2.24
O3 0.4575 0.7912 0.5937  1 Ni 2.07, 1 Pb 2.24
O4 0.0425 0.9063 0.7088  1 Ni 2.07, 1 Pb 2.24
O5 0.9063 0.7088 0.0425  1 Ni 2.07, 1 Pb 2.24
O6 0.7088 0.0425 0.9063  1 Ni 2.07, 1 Pb 2.24
O7 0.2088 0.4063 0.5425  1 Ni 2.07, 1 Pb 2.24
O8 0.4063 0.5425 0.2088  1 Ni 2.07, 1 Pb 2.24
O9 0.5425 0.2088 0.4063  1 Ni 2.07, 1 Pb 2.24
O10 0.9575 0.0937 0.2912  1 Ni 2.07, 1 Pb 2.24
O11 0.2912 0.9575 0.0937  1 Ni 2.07, 1 Pb 2.24
O12 0.0937 0.2912 0.9575  1 Ni 2.07, 1 Pb 2.24

The value obtained for the energy is -6.256 eV/atom. Its space group is R-3c, No. 167. For the density of states at the Fermi level, the calculation gives 5.32 states/eV/cell. As for the total magnetic moment: 3.93 μB/cell.